(1)
KY2Tl | PBE | optimized geometry Values from VASP.

The structure in Quantum ESPRESSO input format:
```
&SYSTEM
  ibrav = 0, nat = 4, ntyp = 3
/
ATOMIC_SPECIES
K 39.10 K.upf
Y 88.91 Y.upf
Tl 204.38 Tl.upf
CELL_PARAMETERS angstrom
-2.4634 2.4634 5.1975
2.4634 -2.4634 5.1975
2.4634 2.4634 -5.1975
ATOMIC_POSITIONS crystal
K 0.0000 0.0000 0.0000
Y 0.5000 0.5000 0.0000
Y 0.7500 0.2500 0.5000
Tl 0.2500 0.7500 0.5000
```

Values from the calculation:
Offset from the most stable computed form: 206 meV per atom
Space group: I-4m2 (119)

=====

(2)
K2YTl | PBE | optimized geometry Values from VASP.

The structure in Quantum ESPRESSO input format:
```
&SYSTEM
  ibrav = 0, nat = 4, ntyp = 3
/
ATOMIC_SPECIES
K 39.10 K.upf
Y 88.91 Y.upf
Tl 204.38 Tl.upf
CELL_PARAMETERS angstrom
5.1458 -1.9387 0.0000
5.1458 1.9387 0.0000
-1.0693 0.0000 9.4072
ATOMIC_POSITIONS crystal
K 0.0000 0.0000 0.0000
K 0.2165 0.2165 0.6427
Y 0.4478 0.4478 0.3562
Tl 0.7211 0.7211 0.2576
```

Values from the calculation:
Offset from the most stable computed form: 102 meV per atom
Space group: Cm (8)

=====

(3)
KY2Tl | PBE | optimized geometry Values from VASP.

The structure in Quantum ESPRESSO input format:
```
&SYSTEM
  ibrav = 0, nat = 4, ntyp = 3
/
ATOMIC_SPECIES
K 39.10 K.upf
Y 88.91 Y.upf
Tl 204.38 Tl.upf
CELL_PARAMETERS angstrom
1.8839 1.0877 11.9155
-1.8839 1.0877 11.9155
0.0000 -2.1754 11.9155
ATOMIC_POSITIONS crystal
K 0.0000 0.0000 0.0000
Y 0.2323 0.2323 0.2323
Y 0.7677 0.7677 0.7677
Tl 0.5000 0.5000 0.5000
```

Values from the calculation:
Offset from the most stable computed form: 60 meV per atom
Space group: R-3m (166)

=====

Values for DFT formation energy, eV/atom, ordered as above
0.24; 0.14; 0.09
Values for total DFT energy (no corrections), eV per atom, ordered as above
-3.86; -2.61; -4.00